# 1
Computed, not measured: an optimized crystal structure of LiCdCl2 at the PBE level of DFT.

The structure in CIF format:
```
data_LiCdCl2
_chemical_formula_sum 'Li1 Cd1 Cl2'
_cell_length_a 3.9525
_cell_length_b 7.1900
_cell_length_c 3.7733
_cell_angle_alpha 90.00
_cell_angle_beta 90.00
_cell_angle_gamma 90.00
_space_group_name_H-M_alt 'P 1'
_space_group_IT_number 1
loop_
_space_group_symop_operation_xyz
'x,y,z'
loop_
_atom_site_label
_atom_site_type_symbol
_atom_site_fract_x
_atom_site_fract_y
_atom_site_fract_z
_atom_site_occupancy
Cl1 Cl 0.5000 0.5000 0.0000 1
Cl2 Cl 0.0000 0.0000 0.0000 1
Li1 Li 0.5000 0.0000 0.5000 1
Cd1 Cd 0.0000 0.5000 0.5000 1
```

Results
The calculation puts the energy above the most stable polymorph in this dataset at 119 meV/atom. The space-group type is No. 47.



# 2
Computed, not measured: an optimized crystal structure of ErZn2Ga2Au2 at the PBE level of DFT.

The structure in CIF format:
```
data_ErZn2Ga2Au2
_chemical_formula_sum 'Er1 Zn2 Ga2 Au2'
_cell_length_a 4.4978
_cell_length_b 4.4978
_cell_length_c 7.9691
_cell_angle_alpha 73.61
_cell_angle_beta 73.61
_cell_angle_gamma 60.00
_space_group_name_H-M_alt 'P 1'
_space_group_IT_number 1
loop_
_space_group_symop_operation_xyz
'x,y,z'
loop_
_atom_site_label
_atom_site_type_symbol
_atom_site_fract_x
_atom_site_fract_y
_atom_site_fract_z
_atom_site_occupancy
Ga1 Ga 0.3999 0.3999 0.8002 1
Ga2 Ga 0.6001 0.6001 0.1998 1
Er1 Er 0.0000 0.0000 0.0000 1
Zn1 Zn 0.1347 0.1347 0.5960 1
Zn2 Zn 0.8653 0.8653 0.4040 1
Au1 Au 0.2521 0.2521 0.2437 1
Au2 Au 0.7479 0.7479 0.7563 1
```

Results
The space-group type is No. 166. The energy relative to the elements comes out at -39 kJ per mole of atoms.



# 3
Computed, not measured: an optimized crystal structure of Al5As at the PBE level of DFT.

The structure in CIF format:
```
data_Al5As
_chemical_formula_sum 'Al5 As1'
_cell_length_a 5.0303
_cell_length_b 5.0303
_cell_length_c 8.0767
_cell_angle_alpha 67.78
_cell_angle_beta 67.78
_cell_angle_gamma 32.87
_space_group_name_H-M_alt 'P 1'
_space_group_IT_number 1
loop_
_space_group_symop_operation_xyz
'x,y,z'
loop_
_atom_site_label
_atom_site_type_symbol
_atom_site_fract_x
_atom_site_fract_y
_atom_site_fract_z
_atom_site_occupancy
Al1 Al 0.0279 0.0279 0.4513 1
Al2 Al 0.3616 0.3616 0.7700 1
Al3 Al 0.3665 0.3665 0.2822 1
Al4 Al 0.6941 0.6941 0.6116 1
Al5 Al 0.0219 0.0219 0.9411 1
As1 As 0.6948 0.6948 0.1105 1
```

Results
The calculation puts the energy above the most stable polymorph in this dataset at 1 meV/atom. The space-group type is No. 8. The energy relative to the elements comes out at 6 kJ per mole of atoms.



Copy entry 3 word for word.
Computed, not measured: an optimized crystal structure of Al5As at the PBE level of DFT.

The structure in CIF format:
```
data_Al5As
_chemical_formula_sum 'Al5 As1'
_cell_length_a 5.0303
_cell_length_b 5.0303
_cell_length_c 8.0767
_cell_angle_alpha 67.78
_cell_angle_beta 67.78
_cell_angle_gamma 32.87
_space_group_name_H-M_alt 'P 1'
_space_group_IT_number 1
loop_
_space_group_symop_operation_xyz
'x,y,z'
loop_
_atom_site_label
_atom_site_type_symbol
_atom_site_fract_x
_atom_site_fract_y
_atom_site_fract_z
_atom_site_occupancy
Al1 Al 0.0279 0.0279 0.4513 1
Al2 Al 0.3616 0.3616 0.7700 1
Al3 Al 0.3665 0.3665 0.2822 1
Al4 Al 0.6941 0.6941 0.6116 1
Al5 Al 0.0219 0.0219 0.9411 1
As1 As 0.6948 0.6948 0.1105 1
```

Results
The calculation puts the energy above the most stable polymorph in this dataset at 1 meV/atom. The space-group type is No. 8. The energy relative to the elements comes out at 6 kJ per mole of atoms.